The following is a DFT calculation (PBE) of a geometry-optimized MgSi2Br structure.

Cell: 3.209 3.209 8.691 Å, 90.00 90.00 114.49°
Sites, in units of the cell vectors:
Mg  0.000  0.000  0.000
Si  0.500  0.500  0.246
Si  0.500  0.500  0.754
Br  0.000  0.000  0.500

Results
- symmetry = No. 65
- DFT total energy (eV/atom) = -3.016
- ΔE_f (raw) (meV/atom) = 512
- crystal system = orthorhombic


The following is a DFT calculation (PBE) of a geometry-optimized MgSiBr4 structure.

Cell: 6.275 6.275 6.275 Å, 60.00 60.00 60.00°
Sites, in units of the cell vectors:
Mg  0.000  0.000  0.000
Si  0.750  0.750  0.750
Br  0.374  0.374  0.374
Br  0.374  0.374  0.877
Br  0.374  0.877  0.374
Br  0.877  0.374  0.374

Results
- symmetry = No. 216
- DFT total energy (eV/atom) = -1.594
- ΔE_f (raw) (meV/atom) = 691
- crystal system = cubic